# TmCS

Crystalline TmCS at its relaxed geometry (PBE, Alexandria).

Values from the calculation:
- uncorrected formation energy (meV per atom) = -948
- total DFT energy (no corrections) (eV per atom) = -6.89
- total magnetic moment (μB per formula unit) = 0.000

abc: 4.0934 4.0934 6.9551
angles: 88.66 88.66 71.06
Fractional coordinates of all 6 atoms:
S (0.7891, 0.7891, 0.3610)
C (0.3669, 0.6331, 0.0000)
S (0.2109, 0.2109, 0.6390)
Tm (0.1620, 0.1620, 0.2363)
C (0.6331, 0.3669, 0.0000)
Tm (0.8380, 0.8380, 0.7637)

=====

# NaGaAg2F6

Crystalline NaGaAg2F6 at its relaxed geometry (PBE, Alexandria).

Values from the calculation:
- uncorrected formation energy (meV per atom) = -2044
- total DFT energy (no corrections) (eV per atom) = -4.17
- total magnetic moment (μB per formula unit) = 0.016
- Fermi-level density of states (states/eV/cell) = 0.0

abc: 5.7756 5.8112 8.2250
angles: 90.00 89.80 90.00
Fractional coordinates of all 20 atoms:
F (0.8375, 0.7851, 0.9584)
F (0.7851, 0.8326, 0.5333)
F (0.9273, 0.5322, 0.2277)
Ag (0.0030, 0.9662, 0.2515)
F (0.1625, 0.2149, 0.0416)
Ga (0.0000, 0.5000, 0.0000)
Na (0.5000, 0.0000, 0.0000)
F (0.2149, 0.1674, 0.4667)
Na (0.0000, 0.5000, 0.5000)
F (0.4273, 0.9678, 0.7277)
F (0.0727, 0.4678, 0.7723)
F (0.2851, 0.6674, 0.0333)
F (0.3375, 0.7149, 0.4584)
Ag (0.4970, 0.4662, 0.2485)
F (0.6625, 0.2851, 0.5416)
Ag (0.9970, 0.0338, 0.7485)
F (0.5727, 0.0322, 0.2723)
F (0.7149, 0.3326, 0.9667)
Ga (0.5000, 0.0000, 0.5000)
Ag (0.5030, 0.5338, 0.7515)

=====

# B3OsSe

Crystalline B3OsSe at its relaxed geometry (PBE, Alexandria).

Values from the calculation:
- uncorrected formation energy (meV per atom) = 1309
- total DFT energy (no corrections) (eV per atom) = -5.64
- total magnetic moment (μB per formula unit) = 0.781
- Fermi-level density of states (states/eV/cell) = 4.4

abc: 4.1759 4.1759 4.1759
angles: 90.00 90.00 90.00
Fractional coordinates of all 5 atoms:
Se (0.5000, 0.5000, 0.5000)
B (0.0000, 0.0000, 0.5000)
B (0.0000, 0.5000, 0.0000)
B (0.5000, 0.0000, 0.0000)
Os (0.0000, 0.0000, 0.0000)

=====

# BH3Pd8

Crystalline BH3Pd8 at its relaxed geometry (PBE, Alexandria).

Values from the calculation:
- total DFT energy (no corrections) (eV per atom) = -5.00
- total magnetic moment (μB per formula unit) = 0.000
- Fermi-level density of states (states/eV/cell) = 3.6

abc: 5.0523 7.7330 5.0646
angles: 131.08 99.23 96.55
Fractional coordinates of all 12 atoms:
Pd (0.7313, 0.6682, 0.8109)
Pd (0.7314, 0.9329, 0.5819)
H (0.6047, 0.6401, 0.1044)
Pd (0.2421, 0.3073, 0.2026)
H (0.0004, 0.2910, 0.8069)
Pd (0.2396, 0.7985, 0.6936)
Pd (0.7427, 0.4246, 0.0768)
Pd (0.7359, 0.1776, 0.3303)
Pd (0.2279, 0.5570, 0.9504)
B (0.9920, 0.9845, 0.0121)
H (0.5139, 0.1632, 0.9734)
Pd (0.2380, 0.0553, 0.4567)

=====

# BCSe2

Crystalline BCSe2 at its relaxed geometry (PBE, Alexandria).

Values from the calculation:
- uncorrected formation energy (meV per atom) = 2199
- total DFT energy (no corrections) (eV per atom) = -3.52
- total magnetic moment (μB per formula unit) = 0.000
- Fermi-level density of states (states/eV/cell) = 2.6

abc: 4.1977 4.1977 4.1977
angles: 60.00 60.00 60.00
Fractional coordinates of all 4 atoms:
Se (0.2500, 0.2500, 0.2500)
C (0.5000, 0.5000, 0.5000)
B (0.0000, 0.0000, 0.0000)
Se (0.7500, 0.7500, 0.7500)

=====

# Y2MnAu

Crystalline Y2MnAu at its relaxed geometry (PBE, Alexandria).

Values from the calculation:
- total DFT energy (no corrections) (eV per atom) = -6.39
- energy of formation (eV/atom) = -0.047
- total magnetic moment (μB per formula unit) = 3.634
- Fermi-level density of states (states/eV/cell) = 5.6

abc: 4.9607 4.9607 4.9607
angles: 60.00 60.00 60.00
Fractional coordinates of all 4 atoms:
Mn (0.7500, 0.7500, 0.7500)
Y (0.2500, 0.2500, 0.2500)
Au (0.5000, 0.5000, 0.5000)
Y (0.0000, 0.0000, 0.0000)

=====

# Pr2Nd3HoTm6

Crystalline Pr2Nd3HoTm6 at its relaxed geometry (PBE, Alexandria).

Values from the calculation:
- total DFT energy (no corrections) (eV per atom) = -4.59
- energy of formation (eV/atom) = 0.018
- total magnetic moment (μB per formula unit) = 0.000
- Fermi-level density of states (states/eV/cell) = 13.0

abc: 6.2081 6.2081 11.7368
angles: 95.05 95.05 119.99
Fractional coordinates of all 12 atoms:
Nd (0.5000, 0.5000, 0.5000)
Tm (0.7508, 0.7508, 0.2498)
Pr (0.6664, 0.3336, 0.0000)
Nd (0.8331, 0.1669, 0.5000)
Tm (0.5838, 0.9166, 0.7505)
Tm (0.2492, 0.2492, 0.7502)
Tm (0.0834, 0.4162, 0.2495)
Pr (0.3336, 0.6664, 0.0000)
Ho (0.0000, 0.0000, 0.0000)
Tm (0.9166, 0.5838, 0.7505)
Tm (0.4162, 0.0834, 0.2495)
Nd (0.1669, 0.8331, 0.5000)

=====

# Eu2CuSn

Crystalline Eu2CuSn at its relaxed geometry (PBE, Alexandria).

Values from the calculation:
- total DFT energy (no corrections) (eV per atom) = -7.03
- energy of formation (eV/atom) = 0.127
- total magnetic moment (μB per formula unit) = 14.651
- Fermi-level density of states (states/eV/cell) = 3.1

abc: 3.8153 3.8153 10.6981
angles: 79.73 79.73 60.00
Fractional coordinates of all 4 atoms:
Sn (0.0000, 0.0000, 0.0000)
Cu (0.5000, 0.5000, 0.5000)
Eu (0.8960, 0.8960, 0.3121)
Eu (0.1040, 0.1040, 0.6879)

=====

# CrTe4Mo

Crystalline CrTe4Mo at its relaxed geometry (PBE, Alexandria).

Values from the calculation:
- uncorrected formation energy (meV per atom) = 1243
- total DFT energy (no corrections) (eV per atom) = -4.26
- total magnetic moment (μB per formula unit) = 9.970
- Fermi-level density of states (states/eV/cell) = 3.9

abc: 6.3290 6.3290 6.3290
angles: 60.00 60.00 60.00
Fractional coordinates of all 6 atoms:
Te (0.3749, 0.3749, 0.3749)
Te (0.8754, 0.3749, 0.3749)
Te (0.3749, 0.8754, 0.3749)
Te (0.3749, 0.3749, 0.8754)
Cr (0.7500, 0.7500, 0.7500)
Mo (0.0000, 0.0000, 0.0000)

=====

# YTeSe2

Crystalline YTeSe2 at its relaxed geometry (PBE, Alexandria).

Values from the calculation:
- uncorrected formation energy (meV per atom) = -750
- total DFT energy (no corrections) (eV per atom) = -4.89
- total magnetic moment (μB per formula unit) = 0.000
- Fermi-level density of states (states/eV/cell) = 5.7

abc: 4.5372 4.5372 11.6271
angles: 78.75 78.75 90.00
Fractional coordinates of all 8 atoms:
Se (0.3750, 0.5053, 0.7500)
Se (0.2553, 0.6250, 0.2500)
Te (0.0000, 0.0000, 0.0000)
Y (0.2500, 0.7500, 0.5000)
Se (0.4947, 0.1250, 0.2500)
Se (0.8750, 0.7447, 0.7500)
Y (0.5000, 0.5000, 0.0000)
Te (0.7500, 0.2500, 0.5000)

=====

# KZnSe2

Crystalline KZnSe2 at its relaxed geometry (PBE, Alexandria).

Values from the calculation:
- uncorrected formation energy (meV per atom) = -663
- total DFT energy (no corrections) (eV per atom) = -3.00
- total magnetic moment (μB per formula unit) = 0.000
- Fermi-level density of states (states/eV/cell) = 3.2

abc: 7.6105 7.6105 6.6347
angles: 55.00 55.00 90.00
Fractional coordinates of all 8 atoms:
Se (0.0322, 0.6250, 0.2500)
K (0.2500, 0.7500, 0.5000)
Se (0.7178, 0.1250, 0.2500)
Se (0.3750, 0.2822, 0.7500)
K (0.5000, 0.5000, 0.0000)
Zn (0.7500, 0.2500, 0.5000)
Se (0.8750, 0.9678, 0.7500)
Zn (0.0000, 0.0000, 0.0000)

=====

# Tl2HgTe2

Crystalline Tl2HgTe2 at its relaxed geometry (PBE, Alexandria).

Values from the calculation:
- uncorrected formation energy (meV per atom) = -88
- total DFT energy (no corrections) (eV per atom) = -2.35
- total magnetic moment (μB per formula unit) = 0.000
- Fermi-level density of states (states/eV/cell) = 1.6

abc: 4.6665 4.6665 9.0130
angles: 75.00 75.00 90.00
Fractional coordinates of all 5 atoms:
Hg (0.0000, 0.0000, 0.0000)
Te (0.7500, 0.2500, 0.5000)
Tl (0.3940, 0.3940, 0.2121)
Tl (0.6060, 0.6060, 0.7879)
Te (0.2500, 0.7500, 0.5000)

=====

# SrSmPd2

Crystalline SrSmPd2 at its relaxed geometry (PBE, Alexandria).

Values from the calculation:
- total DFT energy (no corrections) (eV per atom) = -4.92
- energy of formation (eV/atom) = -0.720
- total magnetic moment (μB per formula unit) = 0.000
- Fermi-level density of states (states/eV/cell) = 1.4

abc: 3.6437 3.6437 7.4173
angles: 90.00 90.00 90.00
Fractional coordinates of all 4 atoms:
Sr (0.5000, 0.5000, 0.5000)
Sm (0.5000, 0.5000, 0.0000)
Pd (0.0000, 0.0000, 0.7865)
Pd (0.0000, 0.0000, 0.2135)

=====

# V2Sn2Ru

Crystalline V2Sn2Ru at its relaxed geometry (PBE, Alexandria).

Values from the calculation:
- total DFT energy (no corrections) (eV per atom) = -6.77
- energy of formation (eV/atom) = 0.337
- total magnetic moment (μB per formula unit) = 3.536
- Fermi-level density of states (states/eV/cell) = 10.3

abc: 6.8596 6.8596 3.8626
angles: 90.00 90.00 90.00
Fractional coordinates of all 10 atoms:
Ru (0.0000, 0.0000, 0.0000)
Sn (0.1470, 0.3530, 0.0000)
Sn (0.8530, 0.6470, 0.0000)
V (0.1560, 0.6560, 0.5000)
Sn (0.3530, 0.8530, 0.0000)
V (0.6560, 0.8440, 0.5000)
Sn (0.6470, 0.1470, 0.0000)
V (0.3440, 0.1560, 0.5000)
V (0.8440, 0.3440, 0.5000)
Ru (0.5000, 0.5000, 0.0000)

=====

# SiIr

Crystalline SiIr at its relaxed geometry (PBE, Alexandria).

Values from the calculation:
- uncorrected formation energy (meV per atom) = -298
- total DFT energy (no corrections) (eV per atom) = -7.44
- total magnetic moment (μB per formula unit) = 0.000
- Fermi-level density of states (states/eV/cell) = 1.7

abc: 5.7104 12.5478 9.8387
angles: 90.00 90.00 90.00
Fractional coordinates of all 32 atoms:
Ir (0.2500, 0.8662, 0.2500)
Ir (0.2500, 0.6338, 0.2500)
Si (0.0000, 0.0000, 0.8086)
Si (0.7500, 0.2500, 0.4414)
Ir (0.0000, 0.1162, 0.0000)
Ir (0.7500, 0.3662, 0.2500)
Si (0.2500, 0.7500, 0.0586)
Ir (0.7500, 0.6338, 0.7500)
Si (0.2500, 0.2500, 0.5586)
Si (0.5000, 0.5000, 0.8086)
Ir (0.0000, 0.8838, 0.0000)
Si (0.0000, 0.0000, 0.1914)
Ir (0.0000, 0.3838, 0.5000)
Ir (0.5000, 0.6162, 0.0000)
Si (0.7500, 0.7500, 0.5586)
Si (0.0000, 0.5000, 0.3086)
Si (0.5000, 0.5000, 0.1914)
Si (0.7500, 0.2500, 0.0586)
Si (0.7500, 0.7500, 0.9414)
Ir (0.5000, 0.3838, 0.0000)
Ir (0.5000, 0.1162, 0.5000)
Ir (0.5000, 0.8838, 0.5000)
Si (0.5000, 0.0000, 0.3086)
Ir (0.7500, 0.1338, 0.2500)
Si (0.0000, 0.5000, 0.6914)
Si (0.5000, 0.0000, 0.6914)
Ir (0.2500, 0.1338, 0.7500)
Si (0.2500, 0.2500, 0.9414)
Si (0.2500, 0.7500, 0.4414)
Ir (0.0000, 0.6162, 0.5000)
Ir (0.2500, 0.3662, 0.7500)
Ir (0.7500, 0.8662, 0.7500)

=====

# TlV3Zn

Crystalline TlV3Zn at its relaxed geometry (PBE, Alexandria).

Values from the calculation:
- total DFT energy (no corrections) (eV per atom) = -5.08
- energy of formation (eV/atom) = 1.115
- total magnetic moment (μB per formula unit) = 0.000
- Fermi-level density of states (states/eV/cell) = 4.8

abc: 4.5107 4.5107 4.5107
angles: 90.00 90.00 90.00
Fractional coordinates of all 5 atoms:
Tl (0.5000, 0.5000, 0.5000)
V (0.5000, 0.0000, 0.0000)
V (0.0000, 0.0000, 0.5000)
V (0.0000, 0.5000, 0.0000)
Zn (0.0000, 0.0000, 0.0000)

=====

# NbZn2Pb

Crystalline NbZn2Pb at its relaxed geometry (PBE, Alexandria).

Values from the calculation:
- total DFT energy (no corrections) (eV per atom) = -3.65
- energy of formation (eV/atom) = 0.428
- total magnetic moment (μB per formula unit) = 0.000
- Fermi-level density of states (states/eV/cell) = 6.4

abc: 7.5601 7.5601 6.0571
angles: 51.39 51.39 90.00
Fractional coordinates of all 8 atoms:
Zn (0.1368, 0.6250, 0.2500)
Zn (0.3750, 0.3868, 0.7500)
Zn (0.6132, 0.1250, 0.2500)
Pb (0.0000, 0.0000, 0.0000)
Pb (0.7500, 0.2500, 0.5000)
Nb (0.5000, 0.5000, 0.0000)
Nb (0.2500, 0.7500, 0.5000)
Zn (0.8750, 0.8632, 0.7500)

=====

# InPd2CI

Crystalline InPd2CI at its relaxed geometry (PBE, Alexandria).

Values from the calculation:
- uncorrected formation energy (meV per atom) = 1791
- total DFT energy (no corrections) (eV per atom) = -2.99
- total magnetic moment (μB per formula unit) = 2.093
- Fermi-level density of states (states/eV/cell) = 5.2

abc: 5.0214 6.6274 5.0214
angles: 90.00 90.00 90.00
Fractional coordinates of all 5 atoms:
Pd (0.0000, 0.0000, 0.5000)
C (0.5000, 0.5000, 0.5000)
Pd (0.5000, 0.0000, 0.0000)
I (0.0000, 0.0000, 0.0000)
In (0.0000, 0.5000, 0.0000)

=====

# LiPm3Pa3N8

Crystalline LiPm3Pa3N8 at its relaxed geometry (PBE, Alexandria).

Values from the calculation:
- uncorrected formation energy (meV per atom) = -1218
- total DFT energy (no corrections) (eV per atom) = -8.64
- total magnetic moment (μB per formula unit) = 0.000
- Fermi-level density of states (states/eV/cell) = 4.3

abc: 6.9848 6.9851 6.9870
angles: 119.99 90.00 120.00
Fractional coordinates of all 15 atoms:
Pm (0.0000, 0.5000, 0.0000)
Pa (0.5000, 0.0000, 0.5000)
N (0.2766, 0.0343, 0.2918)
Li (0.0000, 0.0000, 0.5000)
Pa (0.5000, 0.5000, 0.5000)
Pa (0.0000, 0.5000, 0.5000)
N (0.7466, 0.4933, 0.7399)
N (0.2424, 0.4848, 0.7083)
N (0.7234, 0.9657, 0.7082)
N (0.2424, 0.9657, 0.7082)
Pm (0.5000, 0.5000, 0.0000)
N (0.7576, 0.0343, 0.2918)
N (0.7576, 0.5152, 0.2917)
Pm (0.0000, 0.0000, 0.0000)
N (0.2534, 0.5067, 0.2601)

=====

# LaNd2Ag6

Crystalline LaNd2Ag6 at its relaxed geometry (PBE, Alexandria).

Values from the calculation:
- total DFT energy (no corrections) (eV per atom) = -3.70
- energy of formation (eV/atom) = -0.194
- total magnetic moment (μB per formula unit) = 0.000
- Fermi-level density of states (states/eV/cell) = 7.7

abc: 3.6619 8.7159 8.7159
angles: 55.38 77.87 77.87
Fractional coordinates of all 9 atoms:
Nd (0.3579, 0.1421, 0.1421)
Nd (0.6421, 0.8579, 0.8579)
Ag (0.8251, 0.8547, 0.4952)
Ag (0.1749, 0.5048, 0.1453)
Ag (0.1749, 0.1453, 0.5048)
La (0.5000, 0.5000, 0.5000)
Ag (0.0000, 0.8208, 0.1792)
Ag (0.8251, 0.4952, 0.8547)
Ag (0.0000, 0.1792, 0.8208)

=====

# TlP2OF

Crystalline TlP2OF at its relaxed geometry (PBE, Alexandria).

Values from the calculation:
- uncorrected formation energy (meV per atom) = 579
- total DFT energy (no corrections) (eV per atom) = -3.42
- total magnetic moment (μB per formula unit) = 0.001
- Fermi-level density of states (states/eV/cell) = 3.4

abc: 4.0550 4.0550 5.1778
angles: 90.00 90.00 90.00
Fractional coordinates of all 5 atoms:
F (0.0000, 0.0000, 0.0000)
O (0.0000, 0.0000, 0.5000)
Tl (0.5000, 0.5000, 0.5000)
P (0.5000, 0.0000, 0.0000)
P (0.0000, 0.5000, 0.0000)

=====

# NbSb2Te2

Crystalline NbSb2Te2 at its relaxed geometry (PBE, Alexandria).

Values from the calculation:
- uncorrected formation energy (meV per atom) = 390
- total DFT energy (no corrections) (eV per atom) = -4.53
- total magnetic moment (μB per formula unit) = 1.065
- Fermi-level density of states (states/eV/cell) = 2.7

abc: 3.9797 3.9797 10.4477
angles: 79.02 79.02 90.00
Fractional coordinates of all 5 atoms:
Nb (0.0000, 0.0000, 0.0000)
Sb (0.5710, 0.5710, 0.8580)
Te (0.7500, 0.2500, 0.5000)
Sb (0.4290, 0.4290, 0.1420)
Te (0.2500, 0.7500, 0.5000)

=====

# La2CePm

Crystalline La2CePm at its relaxed geometry (PBE, Alexandria).

Values from the calculation:
- total DFT energy (no corrections) (eV per atom) = -5.06
- energy of formation (eV/atom) = 0.071
- total magnetic moment (μB per formula unit) = 0.903
- Fermi-level density of states (states/eV/cell) = 9.2

abc: 3.6468 3.6468 12.1024
angles: 81.33 81.33 60.00
Fractional coordinates of all 4 atoms:
Pm (0.6678, 0.6678, 0.9966)
La (0.2475, 0.2475, 0.2576)
La (0.0851, 0.0851, 0.7447)
Ce (0.4996, 0.4996, 0.5011)

=====

# Tm2PuZr

Crystalline Tm2PuZr at its relaxed geometry (PBE, Alexandria).

Values from the calculation:
- total DFT energy (no corrections) (eV per atom) = -7.84
- energy of formation (eV/atom) = 0.113
- total magnetic moment (μB per formula unit) = 6.082
- Fermi-level density of states (states/eV/cell) = 11.1

abc: 3.3927 3.3927 11.1495
angles: 81.25 81.25 60.01
Fractional coordinates of all 4 atoms:
Tm (0.2466, 0.2466, 0.2609)
Pu (0.6662, 0.6662, 0.0006)
Tm (0.0870, 0.0870, 0.7397)
Zr (0.5002, 0.5002, 0.4988)